First-principles (PBE) data for an optimized crystal structure of Sr4Y, as listed in the Alexandria database.

## Properties
The theoretical density is 2.870 g/cm³. The energy above the lowest structure with this stoichiometry comes out at 289.7 meV per atom. Its density of states at the Fermi level is 15.74 states/eV per cell. The total DFT energy (no corrections) comes out at -2.19 eV per atom. For the energy of formation, the calculation gives 0.453 eV/atom.

```
data_Sr4Y
_chemical_formula_sum 'Sr8 Y2'
_cell_length_a 4.978
_cell_length_b 4.978
_cell_length_c 20.516
_cell_angle_alpha 90.00
_cell_angle_beta 90.00
_cell_angle_gamma 90.00
_space_group_name_H-M_alt 'I 4/m m m'
_space_group_IT_number 139
_space_group_name_Hall '-I 4 2'
loop_
_atom_site_label
_atom_site_fract_x
_atom_site_fract_y
_atom_site_fract_z
Sr1 0.000 0.000 0.091
Sr2 0.000 0.500 0.250
Y1 0.000 0.000 0.500
```